No. 1
This record from the Alexandria database describes a geometry-optimized Dy3Al structure. The functional is GGA-PBE.

Space group: Pm-3m, No. 221
Total magnetization in μB/cell: 0.00
Final energy in eV/atom: -4.577

a b c (Å): 4.759 4.759 4.759
angles (deg): 90.00 90.00 90.00
Fractional positions:
Dy1 0.000 0.000 0.500
Dy2 0.000 0.500 0.000
Dy3 0.500 0.000 0.000
Al1 0.500 0.500 0.500

---

No. 2
This record from the Alexandria database describes a geometry-optimized Tb2InAg3 structure. The functional is GGA-PBE.

Space group: Fmmm, No. 69
Total magnetization in μB/cell: 0.00
Offset from the most stable computed form in meV per atom: 0

a b c (Å): 9.779 9.124 5.889
angles (deg): 78.03 65.88 36.09
Fractional positions:
Tb1 0.245 0.755 0.755
Tb2 0.250 0.250 0.250
Tb3 0.750 0.750 0.750
Tb4 0.755 0.245 0.245
In1 0.334 0.334 0.666
In2 0.666 0.666 0.334
Ag1 0.167 0.167 0.833
Ag2 0.167 0.668 0.332
Ag3 0.332 0.833 0.167
Ag4 0.668 0.167 0.833
Ag5 0.833 0.332 0.668
Ag6 0.833 0.833 0.167

---

No. 3
This record from the Alexandria database describes a geometry-optimized TaV2Ag2Se6 structure. The functional is GGA-PBE.

Space group: C2/m, No. 12
Total magnetization in μB/cell: 0.00
Raw formation energy in meV per atom: -512.8

a b c (Å): 6.121 6.121 8.152
angles (deg): 96.76 96.76 122.04
Fractional positions:
Ta1 0.000 0.000 0.000
V1 0.374 0.626 0.000
V2 0.626 0.374 0.000
Ag1 0.189 0.811 0.500
Ag2 0.811 0.189 0.500
Se1 0.069 0.711 0.181
Se2 0.289 0.931 0.819
Se3 0.405 0.405 0.221
Se4 0.595 0.595 0.779
Se5 0.711 0.069 0.181
Se6 0.931 0.289 0.819

---

No. 4
This record from the Alexandria database describes a geometry-optimized Cu6NiAu3 structure. The functional is GGA-PBE.

Space group: R3m, No. 160
Total magnetization in μB/cell: 0.00
Final energy in eV/atom: -3.776

a b c (Å): 8.995 8.995 8.995
angles (deg): 119.05 119.05 119.05
Fractional positions:
Cu1 0.090 0.090 0.821
Cu2 0.090 0.821 0.090
Cu3 0.338 0.338 0.569
Cu4 0.338 0.569 0.338
Cu5 0.569 0.338 0.338
Cu6 0.821 0.090 0.090
Ni1 0.890 0.890 0.890
Au1 0.196 0.715 0.715
Au2 0.715 0.196 0.715
Au3 0.715 0.715 0.196

---

No. 5
This record from the Alexandria database describes a geometry-optimized ZrSiRu2 structure. The functional is GGA-PBE.

Space group: P4mm, No. 99
Total magnetization in μB/cell: 0.00
Raw formation energy in meV per atom: -272.5

a b c (Å): 2.914 2.914 7.292
angles (deg): 90.00 90.00 90.00
Fractional positions:
Zr1 0.000 0.000 0.000
Si1 0.500 0.500 0.726
Ru1 0.000 0.000 0.540
Ru2 0.500 0.500 0.298

---

No. 6
This record from the Alexandria database describes a geometry-optimized Li5Mg3 structure. The functional is GGA-PBE.

Space group: I4/mcm, No. 140
Total magnetization in μB/cell: 0.00
Offset from the most stable computed form in meV per atom: 61

a b c (Å): 8.281 8.281 8.281
angles (deg): 96.40 96.40 141.01
Fractional positions:
Li1 0.071 0.766 0.837
Li2 0.234 0.071 0.305
Li3 0.250 0.750 0.500
Li4 0.266 0.571 0.837
Li5 0.429 0.266 0.695
Li6 0.571 0.734 0.305
Li7 0.734 0.429 0.163
Li8 0.750 0.250 0.500
Li9 0.766 0.929 0.695
Li10 0.929 0.234 0.163
Mg1 0.177 0.323 0.500
Mg2 0.250 0.250 0.000
Mg3 0.323 0.823 0.146
Mg4 0.677 0.177 0.854
Mg5 0.750 0.750 0.000
Mg6 0.823 0.677 0.500

---

No. 7
This record from the Alexandria database describes a geometry-optimized Ca2ZnPd2 structure. The functional is GGA-PBE.

Space group: I4/mmm, No. 139
Total magnetization in μB/cell: 0.00
Final energy in eV/atom: -3.575

a b c (Å): 5.525 5.525 5.525
angles (deg): 118.91 118.91 91.90
Fractional positions:
Ca1 0.250 0.750 0.500
Ca2 0.750 0.250 0.500
Zn1 0.000 0.000 0.000
Pd1 0.328 0.328 0.000
Pd2 0.672 0.672 0.000

---

No. 8
This record from the Alexandria database describes a geometry-optimized PmY3Pb2 structure. The functional is GGA-PBE.

Space group: Ibam, No. 72
Total magnetization in μB/cell: 0.00
Offset from the most stable computed form in meV per atom: 252

a b c (Å): 9.053 9.053 9.053
angles (deg): 130.68 72.04 131.04
Fractional positions:
Pm1 0.000 0.000 0.000
Pm2 0.500 0.500 0.000
Y1 0.039 0.250 0.789
Y2 0.250 0.750 0.500
Y3 0.461 0.250 0.211
Y4 0.539 0.750 0.789
Y5 0.750 0.250 0.500
Y6 0.961 0.750 0.211
Pb1 0.143 0.682 0.825
Pb2 0.357 0.182 0.539
Pb3 0.643 0.818 0.461
Pb4 0.857 0.318 0.175

---

No. 9
This record from the Alexandria database describes a geometry-optimized Rb3LaB structure. The functional is GGA-PBE.

Space group: Pm-3m, No. 221
Total magnetization in μB/cell: 2.10
Final energy in eV/atom: -1.059

a b c (Å): 7.214 7.214 7.214
angles (deg): 90.00 90.00 90.00
Fractional positions:
Rb1 0.000 0.000 0.500
Rb2 0.000 0.500 0.000
Rb3 0.500 0.000 0.000
La1 0.000 0.000 0.000
B1 0.500 0.500 0.500

---

No. 10
This record from the Alexandria database describes a geometry-optimized CaPuIn2 structure. The functional is GGA-PBE.

Space group: P4/mmm, No. 123
Total magnetization in μB/cell: 5.73
Offset from the most stable computed form in meV per atom: 19

a b c (Å): 5.460 5.460 3.770
angles (deg): 90.00 90.00 90.00
Fractional positions:
Ca1 0.000 0.000 0.000
Pu1 0.500 0.500 0.000
In1 0.000 0.500 0.500
In2 0.500 0.000 0.500

---

No. 11
This record from the Alexandria database describes a geometry-optimized TePbW2I structure. The functional is GGA-PBE.

Space group: P4/mmm, No. 123
Total magnetization in μB/cell: 1.71
Offset from the most stable computed form in meV per atom: 0
Raw formation energy in meV per atom: 2317.4

a b c (Å): 5.000 5.000 6.020
angles (deg): 90.00 90.00 90.00
Fractional positions:
Te1 0.000 0.000 0.000
Pb1 0.500 0.500 0.000
W1 0.000 0.500 0.500
W2 0.500 0.000 0.500
I1 0.500 0.500 0.500

---

No. 12
This record from the Alexandria database describes a geometry-optimized K2Sb structure. The functional is GGA-PBE.

Space group: Cmcm, No. 63
Total magnetization in μB/cell: 0.00
Offset from the most stable computed form in meV per atom: 64
Raw formation energy in meV per atom: -342.1

a b c (Å): 9.944 9.944 6.043
angles (deg): 90.00 90.00 158.27
Fractional positions:
K1 0.046 0.954 0.750
K2 0.278 0.722 0.250
K3 0.722 0.278 0.750
K4 0.954 0.046 0.250
Sb1 0.380 0.620 0.750
Sb2 0.620 0.380 0.250

---

No. 13
This record from the Alexandria database describes a geometry-optimized KAlOs2 structure. The functional is GGA-PBE.

Space group: Pmmm, No. 47
Total magnetization in μB/cell: 0.00
Final energy in eV/atom: -5.628

a b c (Å): 2.749 4.965 5.011
angles (deg): 90.00 90.00 90.00
Fractional positions:
K1 0.000 0.000 0.000
Al1 0.500 0.000 0.500
Os1 0.000 0.500 0.500
Os2 0.500 0.500 0.000

---

No. 14
This record from the Alexandria database describes a geometry-optimized RbCu2RhCl8 structure. The functional is GGA-PBE.

Space group: P-3, No. 147
Total magnetization in μB/cell: 2.14
Raw formation energy in meV per atom: -738.2

a b c (Å): 6.212 6.212 9.323
angles (deg): 90.00 90.00 120.00
Fractional positions:
Rb1 0.000 0.000 0.000
Cu1 0.333 0.667 0.710
Cu2 0.667 0.333 0.290
Rh1 0.000 0.000 0.500
Cl1 0.015 0.700 0.351
Cl2 0.300 0.315 0.351
Cl3 0.315 0.015 0.649
Cl4 0.333 0.667 0.946
Cl5 0.667 0.333 0.054
Cl6 0.685 0.985 0.351
Cl7 0.700 0.685 0.649
Cl8 0.985 0.300 0.649